Computed, not measured: an optimized crystal structure of Na3Tm2InO6 at the PBE level of DFT.

The space group is C2/m (No. 12) and the conventional cell measures 5.771, 9.997 and 5.901 Å, with angles of 90.00, 108.98 and 90.00 degrees. The distinct sites, in fractional coordinates, are Na at (0.000, 0.000, 0.000), Na at (0.000, 0.337, 0.000), Tm at (0.000, 0.167, 0.500), In at (0.000, 0.500, 0.500), O at (0.237, 0.000, 0.712) and O at (0.237, 0.333, 0.712).

The value obtained for the magnetic moment is 0.0 μB per cell. For the formation energy from raw total energies, the calculation gives -2441 meV per atom. The theoretical density is 6.37 Mg/m³.

***

Computed, not measured: an optimized crystal structure of Zr2Ta4Cd at the PBE level of DFT.

The space group is I4/mmm (No. 139) and the conventional cell measures 4.979, 4.979 and 13.811 Å, with angles of 90.00, 90.00 and 90.00 degrees. The distinct sites, in fractional coordinates, are Zr at (0.000, 0.000, 0.113), Ta at (0.000, 0.000, 0.309), Ta at (0.000, 0.500, 0.000) and Cd at (0.000, 0.000, 0.500).

The value obtained for the magnetic moment is 0.0 μB per cell. The theoretical density is 9.88 Mg/m³. For the formation energy, the calculation gives 171.24 kJ per mole of atoms.

***

Computed, not measured: an optimized crystal structure of NdBeNbIr2 at the PBE level of DFT.

The space group is I-4m2 (No. 119) and the conventional cell measures 4.027, 4.027 and 11.521 Å, with angles of 90.00, 90.00 and 90.00 degrees. The distinct sites, in fractional coordinates, are Nd at (0.000, 0.000, 0.000), Be at (0.000, 0.500, 0.750), Nb at (0.000, 0.500, 0.250) and Ir at (0.000, 0.000, 0.384).

The value obtained for the magnetic moment is 0.0 μB per cell. The theoretical density is 11.21 Mg/m³. For the formation energy, the calculation gives -48.21 kJ per mole of atoms.

***

Computed, not measured: an optimized crystal structure of ScPaAlAu at the PBE level of DFT.

The space group is F-43m (No. 216) and the conventional cell measures 7.064, 7.064 and 7.064 Å, with angles of 90.00, 90.00 and 90.00 degrees. The distinct sites, in fractional coordinates, are Sc at (0.000, 0.000, 0.000), Pa at (0.000, 0.000, 0.500), Al at (0.250, 0.250, 0.750) and Au at (0.250, 0.250, 0.250).

The value obtained for the magnetic moment is 5.0 μB per cell. The theoretical density is 9.42 Mg/m³. For the formation energy, the calculation gives -21.73 kJ per mole of atoms.

***

Computed, not measured: an optimized crystal structure of GeSb2W at the PBE level of DFT.

The space group is I-42d (No. 122) and the conventional cell measures 6.331, 6.331 and 12.334 Å, with angles of 90.00, 90.00 and 90.00 degrees. The distinct sites, in fractional coordinates, are Ge at (0.000, 0.000, 0.000), Sb at (0.235, 0.250, 0.625) and W at (0.000, 0.000, 0.500).

The value obtained for the magnetic moment is 7.4 μB per cell. For the formation energy from raw total energies, the calculation gives 824 meV per atom. The theoretical density is 6.72 Mg/m³.

***

Computed, not measured: an optimized crystal structure of CsSmMnCl6 at the PBE level of DFT.

The space group is P312 (No. 149) and the conventional cell measures 6.9273, 6.9273 and 7.7444 Å, with angles of 90.00, 90.00 and 120.00 degrees. The distinct sites, in fractional coordinates, are Cs at (0.0000, 0.0000, 0.0000), Sm at (0.6667, 0.3333, 0.5000), Mn at (0.3333, 0.6667, 0.5000) and Cl at (0.0171, 0.3887, 0.6951).

The value obtained for the magnetic moment is 5.0 μB per cell. For the formation energy from raw total energies, the calculation gives -1854 meV per atom. The theoretical density is 2.84 Mg/m³.